{"formula": "CsKS5", "functional": "PBE", "state": "relaxed", "cell": [[8.558, 1.778, -0.907], [-0.260, 8.737, -0.907], [-1.318, -1.670, 7.206]], "species": ["Cs", "Cs", "K", "K", "S", "S", "S", "S", "S", "S", "S", "S", "S", "S"], "frac_coords": [[0.716, 0.784, 0.250], [0.284, 0.216, 0.750], [0.000, 0.000, 0.000], [0.500, 0.500, 0.500], [0.085, 0.502, 0.169], [0.671, 0.059, 0.708], [0.002, 0.585, 0.669], [0.345, 0.155, 0.250], [0.441, 0.829, 0.792], [0.559, 0.171, 0.208], [0.655, 0.845, 0.750], [0.998, 0.415, 0.331], [0.329, 0.941, 0.292], [0.915, 0.498, 0.831]], "dos_at_fermi_per_ev_atom": 0.35, "formation_energy_uncorrected_ev_per_fu": -3.24, "total_magnetization_mub_per_cell": 0.000}

---

{"formula": "Cs8K6S", "functional": "PBE", "state": "relaxed", "cell": [[10.848, -0.064, 3.510], [2.534, 10.548, 3.510], [-0.082, -0.064, 11.401]], "species": ["Cs", "Cs", "Cs", "Cs", "Cs", "Cs", "Cs", "Cs", "K", "K", "K", "K", "K", "K", "S"], "frac_coords": [[0.109, 0.701, 0.963], [0.037, 0.891, 0.299], [0.299, 0.037, 0.891], [0.737, 0.737, 0.737], [0.263, 0.263, 0.263], [0.701, 0.963, 0.109], [0.963, 0.109, 0.701], [0.891, 0.299, 0.037], [0.191, 0.488, 0.593], [0.407, 0.809, 0.512], [0.512, 0.407, 0.809], [0.488, 0.593, 0.191], [0.593, 0.191, 0.488], [0.809, 0.512, 0.407], [0.000, 0.000, 0.000]], "dos_at_fermi_per_ev_atom": 0.65, "formation_energy_uncorrected_ev_per_fu": -2.95, "total_magnetization_mub_per_cell": 0.000}

---

{"formula": "CsK3S", "functional": "PBE", "state": "relaxed", "cell": [[7.346, 0.000, 0.000], [0.000, 7.346, 0.000], [0.000, 0.000, 7.346]], "species": ["Cs", "K", "K", "K", "S"], "frac_coords": [[0.000, 0.000, 0.000], [0.000, 0.500, 0.000], [0.000, 0.000, 0.500], [0.500, 0.000, 0.000], [0.500, 0.500, 0.500]], "dos_at_fermi_per_ev_atom": 0.02, "formation_energy_uncorrected_ev_per_fu": 2.63, "e_above_lowest_polymorph_mev_per_atom": 1018, "total_magnetization_mub_per_cell": 0.000}

---

{"formula": "Cs12K3S5", "functional": "PBE", "state": "relaxed", "cell": [[19.679, 0.000, 0.000], [-6.560, 18.554, 0.000], [-6.560, -9.277, 16.068]], "species": ["K", "K", "K", "K", "K", "K", "K", "K", "K", "K", "K", "K", "S", "S", "S", "S", "S", "S", "S", "S", "S", "S", "S", "S", "S", "S", "S", "S", "S", "S", "S", "S", "Cs", "Cs", "Cs", "Cs", "Cs", "Cs", "Cs", "Cs", "Cs", "Cs", "Cs", "Cs", "Cs", "Cs", "Cs", "Cs", "Cs", "Cs", "Cs", "Cs", "Cs", "Cs", "Cs", "Cs", "Cs", "Cs", "Cs", "Cs", "Cs", "Cs", "Cs", "Cs", "Cs", "Cs", "Cs", "Cs", "Cs", "Cs", "Cs", "Cs", "Cs", "Cs", "Cs", "Cs", "Cs", "Cs", "Cs", "Cs"], "frac_coords": [[0.750, 0.375, 0.125], [0.875, 0.750, 0.125], [0.375, 0.750, 0.625], [0.250, 0.125, 0.375], [0.875, 0.125, 0.250], [0.375, 0.625, 0.250], [0.625, 0.375, 0.750], [0.125, 0.875, 0.750], [0.750, 0.875, 0.625], [0.625, 0.250, 0.375], [0.125, 0.250, 0.875], [0.250, 0.625, 0.875], [0.125, 0.375, 0.250], [0.000, 0.500, 0.000], [0.000, 0.000, 0.000], [0.375, 0.250, 0.125], [0.500, 0.000, 0.500], [0.500, 0.500, 0.000], [0.125, 0.750, 0.375], [0.750, 0.125, 0.875], [0.750, 0.625, 0.375], [0.375, 0.125, 0.750], [0.625, 0.875, 0.250], [0.500, 0.500, 0.500], [0.500, 0.000, 0.000], [0.000, 0.000, 0.500], [0.250, 0.375, 0.625], [0.250, 0.875, 0.125], [0.000, 0.500, 0.500], [0.875, 0.250, 0.625], [0.625, 0.750, 0.875], [0.875, 0.625, 0.750], [0.685, 0.096, 0.001], [0.316, 0.501, 0.405], [0.999, 0.404, 0.315], [0.501, 0.185, 0.096], [0.589, 0.685, 0.684], [0.999, 0.595, 0.184], [0.316, 0.815, 0.411], [0.095, 0.911, 0.096], [0.595, 0.999, 0.684], [0.685, 0.589, 0.184], [0.815, 0.499, 0.404], [0.816, 0.905, 0.001], [0.096, 0.685, 0.501], [0.404, 0.405, 0.089], [0.089, 0.905, 0.404], [0.411, 0.096, 0.595], [0.089, 0.184, 0.185], [0.499, 0.684, 0.095], [0.816, 0.911, 0.315], [0.096, 0.411, 0.095], [0.404, 0.999, 0.815], [0.595, 0.596, 0.411], [0.905, 0.816, 0.501], [0.815, 0.316, 0.911], [0.405, 0.404, 0.589], [0.095, 0.184, 0.499], [0.185, 0.684, 0.089], [0.184, 0.089, 0.685], [0.596, 0.001, 0.185], [0.904, 0.589, 0.905], [0.501, 0.316, 0.905], [0.589, 0.904, 0.405], [0.911, 0.816, 0.815], [0.911, 0.095, 0.596], [0.904, 0.315, 0.499], [0.184, 0.095, 0.999], [0.596, 0.595, 0.911], [0.405, 0.001, 0.316], [0.315, 0.411, 0.816], [0.185, 0.501, 0.596], [0.905, 0.089, 0.904], [0.684, 0.185, 0.589], [0.499, 0.815, 0.904], [0.001, 0.405, 0.816], [0.411, 0.315, 0.316], [0.001, 0.596, 0.685], [0.684, 0.499, 0.595], [0.315, 0.904, 0.999]], "dos_at_fermi_per_ev_atom": 0.52, "formation_energy_uncorrected_ev_per_fu": -11.38, "total_magnetization_mub_per_cell": 0.019}